VASP calculation (PBE) on a relaxed structure of ScPd3Pt6.

Calculated values
spin magnetization = 0.00 μB per cell
formation enthalpy at 0 K = -37.2 kJ/mol of atoms

a = 3.9824 Å, b = 8.8895 Å, c = 8.9367 Å
α = 90.15°, β = 90.00°, γ = 90.00°
With the nearest neighbours (Å) after each atom.
Atoms (fractional coordinates):
Sc 0.2500 0.9399 0.6146  10 Pt 2.71-2.90
Sc 0.7500 0.0601 0.3854  10 Pt 2.71-2.90
Pd 0.2500 0.5507 0.3977  8 Pt 2.79-2.87, 4 Pd 2.81-2.85
Pd 0.7500 0.4493 0.6023  8 Pt 2.79-2.87, 4 Pd 2.81-2.85
Pd 0.2500 0.3475 0.7995  4 Pd 2.79-2.81, 8 Pt 2.80-2.85
Pd 0.7500 0.6525 0.2005  4 Pd 2.79-2.81, 8 Pt 2.80-2.85
Pd 0.2500 0.7487 0.0034  2 Pd 2.79, 10 Pt 2.79-2.86
Pd 0.7500 0.2513 0.9966  2 Pd 2.79, 10 Pt 2.79-2.86
Pt 0.2500 0.4494 0.0981  5 Pt 2.79-2.82, 7 Pd 2.79-2.84
Pt 0.7500 0.5506 0.9019  5 Pt 2.79-2.82, 7 Pd 2.79-2.84
Pt 0.2500 0.1541 0.2020  2 Sc 2.71, 8 Pt 2.79-2.85, 2 Pd 2.84
Pt 0.7500 0.8459 0.7980  2 Sc 2.71, 8 Pt 2.79-2.85, 2 Pd 2.84
Pt 0.2500 0.6471 0.6996  1 Sc 2.71, 5 Pd 2.79-2.86, 6 Pt 2.80-2.85
Pt 0.7500 0.3529 0.3004  1 Sc 2.71, 5 Pd 2.79-2.86, 6 Pt 2.80-2.85
Pt 0.2500 0.2452 0.5024  3 Sc 2.78-2.90, 5 Pt 2.79-2.85, 4 Pd 2.80-2.87
Pt 0.7500 0.7548 0.4976  3 Sc 2.78-2.90, 5 Pt 2.79-2.85, 4 Pd 2.80-2.87
Pt 0.2500 0.8571 0.3046  3 Sc 2.78-2.86, 5 Pt 2.79-2.84, 4 Pd 2.85-2.86
Pt 0.7500 0.1429 0.6954  3 Sc 2.78-2.86, 5 Pt 2.79-2.84, 4 Pd 2.85-2.86
Pt 0.2500 0.0485 0.9006  1 Sc 2.73, 7 Pt 2.81-2.85, 4 Pd 2.81-2.82
Pt 0.7500 0.9515 0.0994  1 Sc 2.73, 7 Pt 2.81-2.85, 4 Pd 2.81-2.82

***

VASP calculation (PBE) on a relaxed structure of TaBe2Cd.

Calculated values
spin magnetization = 0.00 μB per cell
formation enthalpy at 0 K = 32.2 kJ/mol of atoms

a = 4.9889 Å, b = 4.9889 Å, c = 4.6699 Å
α = 72.17°, β = 72.17°, γ = 30.81°
With the nearest neighbours (Å) after each atom.
Atoms (fractional coordinates):
Be 0.0268 0.0268 0.0336  4 Be 2.37-2.65, 1 Ta 2.66
Be 0.7214 0.7214 0.7234  4 Be 2.37-2.65
Cd 0.4809 0.4809 0.5583  2 Cd 2.65, 7 Be 2.66-2.74
Ta 0.2709 0.2709 0.1847  2 Ta 2.65, 7 Be 2.66-2.75

***

VASP calculation (PBE) on a relaxed structure of LiBrF2.

Calculated values
offset from the most stable computed form = 0.681 eV per atom
spin magnetization = 2.00 μB per cell

a = 4.3781 Å, b = 4.3781 Å, c = 4.3781 Å
α = 60.00°, β = 60.00°, γ = 60.00°
With the nearest neighbours (Å) after each atom.
Atoms (fractional coordinates):
Li 0.0000 0.0000 0.0000  8 F 2.68
Br 0.5000 0.5000 0.5000  8 F 2.68
F 0.2500 0.2500 0.2500  4 Br 2.68, 4 Li 2.68
F 0.7500 0.7500 0.7500  4 Li 2.68, 4 Br 2.68

***

VASP calculation (PBE) on a relaxed structure of TmHg2Au.

Calculated values
spin magnetization = 0.00 μB per cell
formation enthalpy at 0 K = -36.3 kJ/mol of atoms

a = 4.8289 Å, b = 4.3374 Å, c = 4.3374 Å
α = 90.00°, β = 90.00°, γ = 90.00°
With the nearest neighbours (Å) after each atom.
Atoms (fractional coordinates):
Tm 0.5000 0.5000 0.5000  4 Au 3.07, 8 Hg 3.25
Au 0.5000 0.0000 0.0000  4 Tm 3.07, 8 Hg 3.25
Hg 0.0000 0.0000 0.5000  4 Hg 3.07, 4 Tm 3.25, 4 Au 3.25
Hg 0.0000 0.5000 0.0000  4 Hg 3.07, 4 Tm 3.25, 4 Au 3.25

***

VASP calculation (PBE) on a relaxed structure of TaBeTe.

Calculated values
offset from the most stable computed form = 0.425 eV per atom
spin magnetization = 0.00 μB per cell

a = 7.1471 Å, b = 7.0854 Å, c = 3.0721 Å
α = 78.66°, β = 76.41°, γ = 24.93°
With the nearest neighbours (Å) after each atom.
Atoms (fractional coordinates):
Be 0.0443 0.0443 0.9557  4 Ta 2.53-2.70
Te 0.3039 0.3039 0.6961  4 Ta 2.92-3.07, 4 Te 3.07
Ta 0.6518 0.6518 0.3482  4 Be 2.53-2.70

***

VASP calculation (PBE) on a relaxed structure of CeCr2FeN4.

Calculated values
electronic total energy = -142.52 eV for the cell shown
spin magnetization = 5.26 μB per cell

a = 3.1384 Å, b = 5.4993 Å, c = 10.1712 Å
α = 90.00°, β = 90.00°, γ = 106.58°
With the nearest neighbours (Å) after each atom.
Atoms (fractional coordinates):
Ce 0.1055 0.2111 0.7500  6 N 2.35-2.54
Ce 0.8945 0.7889 0.2500  6 N 2.35-2.54
Cr 0.3684 0.7368 0.5535  6 N 1.98-2.17
Cr 0.6316 0.2632 0.0535  6 N 1.98-2.17
Cr 0.6316 0.2632 0.4465  6 N 1.98-2.17
Cr 0.3684 0.7368 0.9465  6 N 1.98-2.17
Fe 0.8428 0.6856 0.7500  4 N 1.83-1.87
Fe 0.1572 0.3144 0.2500  4 N 1.83-1.87
N 0.2640 0.5280 0.1078  1 Fe 1.83, 1 Cr 1.98
N 0.7360 0.4720 0.6078  1 Fe 1.83, 1 Cr 1.98
N 0.7360 0.4720 0.8922  1 Fe 1.83, 1 Cr 1.98
N 0.2640 0.5280 0.3922  1 Fe 1.83, 1 Cr 1.98
N 0.0000 0.0000 0.5000  4 Cr 2.16
N 0.0000 0.0000 0.0000  4 Cr 2.16
N 0.4396 0.8792 0.7500  2 Fe 1.87
N 0.5604 0.1208 0.2500  2 Fe 1.87

***

VASP calculation (PBE) on a relaxed structure of TaPtRh2.

Calculated values
spin magnetization = 0.00 μB per cell
formation enthalpy at 0 K = -42.9 kJ/mol of atoms

a = 2.7984 Å, b = 3.9442 Å, c = 5.5575 Å
α = 90.00°, β = 90.00°, γ = 90.00°
With the nearest neighbours (Å) after each atom.
Atoms (fractional coordinates):
Ta 0.0000 0.0000 0.4929  6 Rh 2.70-2.86, 2 Ta 2.80, 4 Pt 2.82
Pt 0.5000 0.5000 0.7536  6 Rh 2.73-2.82, 2 Pt 2.80, 4 Ta 2.82
Rh 0.0000 0.0000 0.0078  2 Ta 2.70-2.86, 6 Rh 2.76-2.80, 4 Pt 2.80
Rh 0.5000 0.5000 0.2457  2 Pt 2.73-2.82, 6 Rh 2.76-2.80, 4 Ta 2.78

***

VASP calculation (PBE) on a relaxed structure of Tb6AgS4.

Calculated values
electronic total energy = -127.93 eV for the cell shown
spin magnetization = 0.00 μB per cell

a = 3.9312 Å, b = 6.7890 Å, c = 20.2889 Å
α = 90.00°, β = 90.00°, γ = 106.83°
With the nearest neighbours (Å) after each atom.
Atoms (fractional coordinates):
Tb 0.5000 0.0000 0.0000  6 S 2.75-2.78
Tb 0.5000 0.0000 0.5000  6 S 2.75-2.78
Tb 0.0448 0.0897 0.3394  3 S 2.75-2.76, 2 Ag 3.06
Tb 0.9552 0.9103 0.6606  3 S 2.75-2.76, 2 Ag 3.06
Tb 0.9552 0.9103 0.8394  3 S 2.75-2.76, 2 Ag 3.06
Tb 0.0448 0.0897 0.1606  3 S 2.75-2.76, 2 Ag 3.06
Tb 0.7732 0.5464 0.4156  5 S 2.75-2.79
Tb 0.2268 0.4536 0.5844  5 S 2.75-2.79
Tb 0.2268 0.4536 0.9156  5 S 2.75-2.79
Tb 0.7732 0.5464 0.0844  5 S 2.75-2.79
Tb 0.3340 0.6680 0.2500  2 S 2.76, 2 Ag 3.00
Tb 0.6660 0.3320 0.7500  2 S 2.76, 2 Ag 3.00
Ag 0.6595 0.3190 0.2500  6 Tb 3.00-3.06
Ag 0.3405 0.6810 0.7500  6 Tb 3.00-3.06
S 0.8619 0.7238 0.5392  6 Tb 2.75-2.79
S 0.4087 0.8174 0.1225  6 Tb 2.75-2.76
S 0.1381 0.2762 0.4608  6 Tb 2.75-2.79
S 0.5913 0.1826 0.8775  6 Tb 2.75-2.76
S 0.8619 0.7238 0.9608  6 Tb 2.75-2.79
S 0.1381 0.2762 0.0392  6 Tb 2.75-2.79
S 0.5913 0.1826 0.6225  6 Tb 2.75-2.76
S 0.4087 0.8174 0.3775  6 Tb 2.75-2.76